No. 1
Compound: ZrNiAu3
Source: Alexandria
Functional: PBEsol
Structure: optimized geometry

a b c (Å): 4.6150 4.6150 4.6150
angles (deg): 90.00 90.00 90.00
Last column: nearest neighbours and their distance in Å.
Fractional coordinates of all 5 atoms:
Zr: 0.0000 0.0000 0.0000  12 Au 3.26
Ni: 0.5000 0.5000 0.5000  6 Au 2.31
Au: 0.0000 0.5000 0.5000  2 Ni 2.31
Au: 0.5000 0.0000 0.5000  2 Ni 2.31
Au: 0.5000 0.5000 0.0000  2 Ni 2.31

Calculated values
Total DFT energy (no corrections): -4.920 eV/atom

***

No. 2
Compound: Re5Mo
Source: Alexandria
Functional: PBEsol
Structure: optimized geometry

a b c (Å): 5.2508 5.2508 6.5598
angles (deg): 104.63 104.63 30.37
Last column: nearest neighbours and their distance in Å.
Fractional coordinates of all 6 atoms:
Re: 0.0000 0.0000 0.0000  10 Re 2.70-2.75, 2 Mo 2.79
Re: 0.0536 0.0536 0.6186  10 Re 2.70-2.78, 2 Mo 2.79
Re: 0.3357 0.3357 0.6754  10 Re 2.71-2.80, 2 Mo 2.77
Re: 0.3954 0.3954 0.2814  3 Mo 2.71-2.78, 9 Re 2.73-2.80
Re: 0.7241 0.7241 0.9478  11 Re 2.72-2.78, 1 Mo 2.76
Mo: 0.6696 0.6696 0.3385  10 Re 2.71-2.79, 2 Mo 2.75

Calculated values
Total DFT energy (no corrections): -12.994 eV/atom
Excess energy over the best structure of this formula in the dataset: 0.000 eV/atom

***

No. 3
Compound: Li3Zn
Source: Alexandria
Functional: PBEsol
Structure: optimized geometry

a b c (Å): 4.4724 4.4724 4.4724
angles (deg): 60.00 60.00 60.00
Last column: nearest neighbours and their distance in Å.
Fractional coordinates of all 4 atoms:
Li: 0.0000 0.0000 0.0000  8 Li 2.74
Li: 0.2500 0.2500 0.2500  4 Li 2.74, 4 Zn 2.74
Li: 0.7500 0.7500 0.7500  4 Li 2.74, 4 Zn 2.74
Zn: 0.5000 0.5000 0.5000  8 Li 2.74

Calculated values
Total DFT energy (no corrections): -1.948 eV/atom

***

No. 4
Compound: Li2Mn2FeO6
Source: Alexandria
Functional: PBEsol
Structure: optimized geometry

a b c (Å): 6.4190 6.4277 8.0368
angles (deg): 69.66 69.37 80.84
Last column: nearest neighbours and their distance in Å.
Fractional coordinates of all 33 atoms:
Li: 0.0007 0.1650 0.3339  6 O 2.09-2.11
Li: 0.3274 0.1685 0.0018  6 O 2.07-2.11
Li: 0.3270 0.5021 0.6691  6 O 2.05-2.12
Li: 0.6730 0.4979 0.3309  6 O 2.05-2.12
Li: 0.6726 0.8315 0.9982  6 O 2.07-2.11
Li: 0.9993 0.8350 0.6661  6 O 2.09-2.11
Mn: 0.3261 0.5072 0.1698  6 O 1.89-1.94
Mn: 0.3285 0.8377 0.8371  6 O 1.89-1.95
Mn: 0.3311 0.1686 0.5033  6 O 1.87-1.94
Mn: 0.6689 0.8314 0.4967  6 O 1.87-1.94
Mn: 0.6715 0.1623 0.1629  6 O 1.89-1.95
Mn: 0.6739 0.4928 0.8302  6 O 1.89-1.94
Fe: 0.0000 0.5000 0.5000  6 O 1.90-1.93
Fe: 0.0043 0.8287 0.1674  6 O 1.91-1.93
Fe: 0.9957 0.1713 0.8326  6 O 1.91-1.93
O: 0.0120 0.5097 0.2575  1 Mn 1.89, 2 Fe 1.90-1.92, 2 Li 2.05-2.09
O: 0.0139 0.8540 0.9187  1 Mn 1.89, 2 Fe 1.91-1.93, 2 Li 2.07-2.11
O: 0.0189 0.1803 0.5841  1 Mn 1.87, 2 Fe 1.93, 2 Li 2.09
O: 0.3141 0.1560 0.7492  1 Fe 1.91, 2 Mn 1.91-1.92, 2 Li 2.09-2.10
O: 0.3217 0.4835 0.4153  2 Mn 1.90-1.92, 1 Fe 1.93, 2 Li 2.10-2.12
O: 0.3243 0.8240 0.0776  2 Mn 1.89-1.91, 1 Fe 1.92, 2 Li 2.08-2.10
O: 0.3463 0.8476 0.5914  3 Mn 1.92-1.94, 2 Li 2.10
O: 0.3474 0.1881 0.2528  3 Mn 1.92-1.95, 2 Li 2.10-2.11
O: 0.3525 0.5159 0.9198  3 Mn 1.93-1.94, 2 Li 2.11
O: 0.6475 0.4841 0.0802  3 Mn 1.93-1.94, 2 Li 2.11
O: 0.6526 0.8119 0.7472  3 Mn 1.92-1.95, 2 Li 2.10-2.11
O: 0.6537 0.1524 0.4086  3 Mn 1.92-1.94, 2 Li 2.10
O: 0.6757 0.1760 0.9224  2 Mn 1.89-1.91, 1 Fe 1.92, 2 Li 2.08-2.10
O: 0.6783 0.5165 0.5847  2 Mn 1.90-1.92, 1 Fe 1.93, 2 Li 2.10-2.12
O: 0.6859 0.8440 0.2508  1 Fe 1.91, 2 Mn 1.91-1.92, 2 Li 2.09-2.10
O: 0.9811 0.8197 0.4159  1 Mn 1.87, 2 Fe 1.93, 2 Li 2.09
O: 0.9861 0.1460 0.0813  1 Mn 1.89, 2 Fe 1.91-1.93, 2 Li 2.07-2.11
O: 0.9880 0.4903 0.7425  1 Mn 1.89, 2 Fe 1.90-1.92, 2 Li 2.05-2.09

Calculated values
Total DFT energy (no corrections): -7.545 eV/atom
ΔE_f (raw): -1.73 eV per atom
Excess energy over the best structure of this formula in the dataset: 0.000 eV/atom

***

No. 5
Compound: CaCrF3
Source: Alexandria
Functional: PBEsol
Structure: optimized geometry

a b c (Å): 4.1997 4.1997 4.1997
angles (deg): 90.00 90.00 90.00
Last column: nearest neighbours and their distance in Å.
Fractional coordinates of all 5 atoms:
Ca: 0.0000 0.0000 0.0000  12 F 2.97
Cr: 0.5000 0.5000 0.5000  6 F 2.10
F: 0.0000 0.5000 0.5000  2 Cr 2.10
F: 0.5000 0.0000 0.5000  2 Cr 2.10
F: 0.5000 0.5000 0.0000  2 Cr 2.10

Calculated values
Total DFT energy (no corrections): -5.814 eV/atom
ΔE_f (raw): -2.18 eV per atom

***

No. 6
Compound: AlReAs
Source: Alexandria
Functional: PBEsol
Structure: optimized geometry

a b c (Å): 6.8423 6.5754 2.8704
angles (deg): 82.91 72.49 24.60
Last column: nearest neighbours and their distance in Å.
Fractional coordinates of all 3 atoms:
Al: 0.0000 0.0000 0.0000  2 Re 2.57, 2 As 2.81, 4 Al 2.87
Re: 0.6616 0.6616 0.3384  2 As 2.49, 2 Al 2.57
As: 0.3156 0.3156 0.6844  2 Re 2.49

Calculated values
Total DFT energy (no corrections): -7.191 eV/atom

***

No. 7
Compound: K2DyPCO7
Source: Alexandria
Functional: PBEsol
Structure: optimized geometry

a b c (Å): 5.6564 7.0597 9.9458
angles (deg): 90.00 90.47 90.00
Last column: nearest neighbours and their distance in Å.
Fractional coordinates of all 24 atoms:
K: 0.2436 0.0167 0.2837  4 O 2.57-2.80
K: 0.2436 0.4833 0.2837  4 O 2.57-2.80
K: 0.7564 0.5167 0.7163  4 O 2.57-2.80
K: 0.7564 0.9833 0.7163  4 O 2.57-2.80
Dy: 0.2957 0.2500 0.8781  6 O 2.23-2.33
Dy: 0.7043 0.7500 0.1219  6 O 2.23-2.33
P: 0.2120 0.7500 0.9336  4 O 1.55-1.56
P: 0.7880 0.2500 0.0664  4 O 1.55-1.56
C: 0.2423 0.2500 0.6051  3 O 1.25-1.33
C: 0.7577 0.7500 0.3949  3 O 1.25-1.33
O: 0.0635 0.2500 0.0592  1 P 1.56
O: 0.0660 0.2500 0.6920  1 C 1.33
O: 0.2077 0.2500 0.4804  1 C 1.25
O: 0.2969 0.5692 0.8607  1 P 1.55
O: 0.2969 0.9308 0.8607  1 P 1.55
O: 0.3161 0.7500 0.0795  1 P 1.56
O: 0.4522 0.2500 0.6618  1 C 1.31
O: 0.5478 0.7500 0.3382  1 C 1.31
O: 0.6839 0.2500 0.9205  1 P 1.56
O: 0.7031 0.0692 0.1393  1 P 1.55
O: 0.7031 0.4308 0.1393  1 P 1.55
O: 0.7923 0.7500 0.5196  1 C 1.25
O: 0.9340 0.7500 0.3080  1 C 1.33
O: 0.9365 0.7500 0.9408  1 P 1.56

Calculated values
Total DFT energy (no corrections): -7.353 eV/atom
ΔE_f (raw): -2.40 eV per atom

***

No. 8
Compound: Na2CuO2
Source: Alexandria
Functional: PBEsol
Structure: optimized geometry

a b c (Å): 5.5617 5.5617 5.5617
angles (deg): 149.24 132.34 57.80
Last column: nearest neighbours and their distance in Å.
Fractional coordinates of all 5 atoms:
Na: 0.1846 0.1846 0.0000  4 O 2.30-2.32
Na: 0.8154 0.8154 0.0000  4 O 2.30-2.32
Cu: 0.5000 0.5000 0.0000  4 O 1.96
O: 0.3679 0.8679 0.5000  2 Cu 1.96
O: 0.6321 0.1321 0.5000  2 Cu 1.96

Calculated values
Total DFT energy (no corrections): -4.563 eV/atom
ΔE_f (raw): -1.04 eV per atom
Excess energy over the best structure of this formula in the dataset: 0.010 eV/atom